Entry 1:
A plane-wave DFT calculation with GGA-PBE was carried out for crystalline PaTiMnGa at its relaxed geometry.

Lattice parameters (Å, degrees): 4.5194 4.5194 4.5194 60.00 60.00 60.00
Sites, in units of the cell vectors:
Pa: 0.0000 0.0000 0.0000
Ti: 0.2500 0.2500 0.2500
Mn: 0.7500 0.7500 0.7500
Ga: 0.5000 0.5000 0.5000

theoretical density = 10.3 g/cm3
SG = No. 216
DFT formation energy = -14.3 kJ per mole of atoms
total magnetic moment = 0.0 μB per cell
crystal system = cubic

Entry 2:
A plane-wave DFT calculation with GGA-PBE was carried out for crystalline PmNdZnSb at its relaxed geometry.

Lattice parameters (Å, degrees): 5.3405 5.3405 5.3405 60.00 60.00 60.00
Sites, in units of the cell vectors:
Pm: 0.0000 0.0000 0.0000
Nd: 0.5000 0.5000 0.5000
Zn: 0.7500 0.7500 0.7500
Sb: 0.2500 0.2500 0.2500

theoretical density = 7.3 g/cm3
formation energy without anion corrections = -0.58 eV/atom
SG = No. 216
total magnetic moment = 0.0 μB per cell
crystal system = cubic

Entry 3:
A plane-wave DFT calculation with GGA-PBE was carried out for crystalline RePd2Pt2 at its relaxed geometry.

Lattice parameters (Å, degrees): 6.6260 6.6260 3.7825 90.00 90.00 90.00
Sites, in units of the cell vectors:
Re: 0.0000 0.0000 0.0000
Re: 0.5000 0.5000 0.0000
Pd: 0.1603 0.3397 0.5000
Pd: 0.3397 0.8397 0.5000
Pd: 0.6603 0.1603 0.5000
Pd: 0.8397 0.6603 0.5000
Pt: 0.1410 0.6410 0.0000
Pt: 0.3590 0.1410 0.0000
Pt: 0.6410 0.8590 0.0000
Pt: 0.8590 0.3590 0.0000

theoretical density = 15.8 g/cm3
SG = No. 127
DFT formation energy = 39.7 kJ per mole of atoms
total magnetic moment = 0.0 μB per cell
crystal system = tetragonal

Entry 4:
A plane-wave DFT calculation with GGA-PBE was carried out for crystalline La2Ga4Ni3Ir at its relaxed geometry.

Lattice parameters (Å, degrees): 4.2404 4.2404 10.0227 90.00 90.00 90.00
Sites, in units of the cell vectors:
La: 0.0000 0.5000 0.2496
La: 0.5000 0.0000 0.7504
Ga: 0.0000 0.0000 0.0000
Ga: 0.0000 0.5000 0.6312
Ga: 0.5000 0.0000 0.3688
Ga: 0.5000 0.5000 0.0000
Ni: 0.0000 0.5000 0.8743
Ni: 0.5000 0.0000 0.1257
Ni: 0.5000 0.5000 0.5000
Ir: 0.0000 0.0000 0.5000

theoretical density = 8.5 g/cm3
SG = No. 115
DFT formation energy = -58.7 kJ per mole of atoms
total magnetic moment = 0.0 μB per cell
crystal system = tetragonal

Entry 5:
A plane-wave DFT calculation with GGA-PBE was carried out for crystalline YLuFeAg at its relaxed geometry.

Lattice parameters (Å, degrees): 4.8795 4.8795 4.8795 60.00 60.00 60.00
Sites, in units of the cell vectors:
Y: 0.0000 0.0000 0.0000
Lu: 0.5000 0.5000 0.5000
Fe: 0.7500 0.7500 0.7500
Ag: 0.2500 0.2500 0.2500

theoretical density = 8.6 g/cm3
SG = No. 216
DFT formation energy = -2.7 kJ per mole of atoms
total magnetic moment = 0.0 μB per cell
crystal system = cubic

Entry 6:
A plane-wave DFT calculation with GGA-PBE was carried out for crystalline ScBiPd2 at its relaxed geometry.

Lattice parameters (Å, degrees): 4.3658 4.3658 4.0532 90.00 90.00 90.00
Sites, in units of the cell vectors:
Sc: 0.0000 0.0000 0.0000
Bi: 0.5000 0.5000 0.0000
Pd: 0.0000 0.5000 0.5000
Pd: 0.5000 0.0000 0.5000

theoretical density = 10.0 g/cm3
SG = No. 123
DFT formation energy = -58.3 kJ per mole of atoms
total magnetic moment = 0.0 μB per cell
crystal system = tetragonal

Entry 7:
A plane-wave DFT calculation with GGA-PBE was carried out for crystalline NdSmCrN4 at its relaxed geometry.

Lattice parameters (Å, degrees): 5.6351 5.4963 6.9299 90.00 108.31 90.00
Sites, in units of the cell vectors:
Nd: 0.2215 0.2500 0.4353
Nd: 0.7785 0.7500 0.5647
Sm: 0.2924 0.2500 0.9634
Sm: 0.7076 0.7500 0.0366
Cr: 0.2639 0.7500 0.2001
Cr: 0.7361 0.2500 0.7999
N: 0.0618 0.7500 0.3473
N: 0.0977 0.7500 0.9444
N: 0.4691 0.5045 0.2581
N: 0.4691 0.9955 0.2581
N: 0.5309 0.0045 0.7419
N: 0.5309 0.4955 0.7419
N: 0.9023 0.2500 0.0556
N: 0.9382 0.2500 0.6527

theoretical density = 6.6 g/cm3
formation energy without anion corrections = -1.07 eV/atom
SG = No. 11
total magnetic moment = 0.0 μB per cell
crystal system = monoclinic

Entry 8:
A plane-wave DFT calculation with GGA-PBE was carried out for crystalline Er2ZrNpP4 at its relaxed geometry.

Lattice parameters (Å, degrees): 6.7406 3.8989 6.7557 90.00 109.25 90.00
Sites, in units of the cell vectors:
Er: 0.0000 0.0000 0.0000
Er: 0.5000 0.5000 0.0000
Zr: 0.0000 0.5000 0.5000
Np: 0.5000 0.0000 0.5000
P: 0.2427 0.0000 0.7402
P: 0.2470 0.5000 0.2565
P: 0.7530 0.5000 0.7435
P: 0.7573 0.0000 0.2599

theoretical density = 7.8 g/cm3
SG = No. 10
DFT formation energy = -131.8 kJ per mole of atoms
total magnetic moment = 3.8 μB per cell
crystal system = monoclinic

Entry 9:
A plane-wave DFT calculation with GGA-PBE was carried out for crystalline Pt2RhCl at its relaxed geometry.

Lattice parameters (Å, degrees): 2.9312 2.9312 7.6672 90.00 90.00 90.00
Sites, in units of the cell vectors:
Pt: 0.0000 0.0000 0.0000
Pt: 0.5000 0.5000 0.2370
Rh: 0.0000 0.0000 0.4612
Cl: 0.5000 0.5000 0.6878

theoretical density = 13.3 g/cm3
formation energy without anion corrections = 0.34 eV/atom
SG = No. 99
total magnetic moment = 1.0 μB per cell
crystal system = tetragonal

Entry 10:
A plane-wave DFT calculation with GGA-PBE was carried out for crystalline PrThZn at its relaxed geometry.

Lattice parameters (Å, degrees): 5.0591 5.0591 3.7343 90.00 90.00 120.00
Sites, in units of the cell vectors:
Pr: 0.0000 0.0000 0.0000
Th: 0.3333 0.6667 0.4087
Zn: 0.6667 0.3333 0.6914

theoretical density = 8.8 g/cm3
SG = No. 156
DFT formation energy = 6.2 kJ per mole of atoms
total magnetic moment = 0.0 μB per cell
crystal system = trigonal

Entry 11:
A plane-wave DFT calculation with GGA-PBE was carried out for crystalline LiSm3Mg4 at its relaxed geometry.

Lattice parameters (Å, degrees): 3.7668 3.7668 15.1967 90.00 90.00 90.00
Sites, in units of the cell vectors:
Li: 0.0000 0.0000 0.0000
Sm: 0.0000 0.0000 0.2453
Sm: 0.0000 0.0000 0.5000
Sm: 0.0000 0.0000 0.7547
Mg: 0.5000 0.5000 0.1074
Mg: 0.5000 0.5000 0.3719
Mg: 0.5000 0.5000 0.6281
Mg: 0.5000 0.5000 0.8926

theoretical density = 4.3 g/cm3
SG = No. 123
DFT formation energy = -6.8 kJ per mole of atoms
total magnetic moment = 0.0 μB per cell
crystal system = tetragonal

Entry 12:
A plane-wave DFT calculation with GGA-PBE was carried out for crystalline VRh2S4 at its relaxed geometry.

Lattice parameters (Å, degrees): 6.0182 6.0182 11.5619 90.00 90.00 148.85
Sites, in units of the cell vectors:
V: 0.1410 0.8590 0.7500
V: 0.8590 0.1410 0.2500
Rh: 0.3687 0.6313 0.5826
Rh: 0.3687 0.6313 0.9174
Rh: 0.6313 0.3687 0.0826
Rh: 0.6313 0.3687 0.4174
S: 0.0000 0.0000 0.0000
S: 0.0000 0.0000 0.5000
S: 0.2864 0.7136 0.1124
S: 0.2864 0.7136 0.3876
S: 0.4833 0.5167 0.7500
S: 0.5167 0.4833 0.2500
S: 0.7136 0.2864 0.6124
S: 0.7136 0.2864 0.8876

theoretical density = 5.9 g/cm3
formation energy without anion corrections = -0.40 eV/atom
SG = No. 63
total magnetic moment = 0.9 μB per cell
crystal system = orthorhombic